Crystalline Pm3SeBr3 at its relaxed geometry. Source: Alexandria, functional PBE-GGA.

abc: 10.253 10.253 10.253
angles: 109.47 109.47 109.47
Fractional coordinates of all 28 atoms:
Pm  0.012  0.023  0.262
Pm  0.012  0.488  0.750
Pm  0.023  0.262  0.012
Pm  0.238  0.262  0.750
Pm  0.238  0.477  0.488
Pm  0.262  0.012  0.023
Pm  0.262  0.750  0.238
Pm  0.477  0.488  0.238
Pm  0.488  0.238  0.477
Pm  0.488  0.750  0.012
Pm  0.750  0.012  0.488
Pm  0.750  0.238  0.262
Se  0.000  0.250  0.500
Se  0.250  0.250  0.250
Se  0.250  0.500  0.000
Se  0.500  0.000  0.250
Br  0.250  0.757  0.743
Br  0.250  0.993  0.507
Br  0.507  0.250  0.993
Br  0.507  0.757  0.514
Br  0.514  0.507  0.757
Br  0.743  0.250  0.757
Br  0.743  0.993  0.986
Br  0.757  0.514  0.507
Br  0.757  0.743  0.250
Br  0.986  0.743  0.993
Br  0.993  0.507  0.250
Br  0.993  0.986  0.743

Summary:
DOS at the Fermi energy (states/eV/atom): 0.441
Energy relative to the elements, uncorrected (eV/f.u.): -11.14